Pr3Sm3InHg2 | GGA-PBE | optimized geometry

Unit cell a=3.8564 b=9.0924 c=9.0924 alpha=120.00 beta=90.00 gamma=90.00
Sites, in units of the cell vectors:
Pr (0.5000, 0.2896, 0.2896)
Pr (0.5000, 0.7104, 0.0000)
Pr (0.5000, 0.0000, 0.7104)
Sm (0.0000, 0.6174, 0.6174)
Sm (0.0000, 0.0000, 0.3826)
Sm (0.0000, 0.3826, 0.0000)
In (0.0000, 0.0000, 0.0000)
Hg (0.5000, 0.3333, 0.6667)
Hg (0.5000, 0.6667, 0.3333)

## Properties
- uncorrected energy (eV/cell) = -34.25
- formation energy from the elements (eV per atom) = -0.27